# PmWClO4 | Alexandria | PBE with a Hubbard U | optimized geometry
data_PmWClO4
_cell_length_a 10.572
_cell_length_b 7.528
_cell_length_c 7.077
_cell_angle_alpha 90.00
_cell_angle_beta 107.31
_cell_angle_gamma 90.00
_space_group_name_H-M_alt 'C 1 2/m 1'
_space_group_IT_number 12
_space_group_name_Hall '-C 2y'
loop_
_atom_site_label
_atom_site_fract_x
_atom_site_fract_y
_atom_site_fract_z
_atom_site_occupancy
Pm1 0.223 0.000 0.116 1
W1 0.137 0.500 0.267 1
Cl1 0.011 0.000 0.767 1
O1 0.041 0.500 0.801 1
O2 0.199 0.313 0.154 1
O3 0.205 0.500 0.531 1
# - Total moment: 0.0 μB per cell
# - Calculated total energy: -7.254 eV/atom